Material: Ce2HfZnN5
Method: DFT, PBE
State: optimized geometry

Geometry as extended XYZ:
```
18
Lattice="1.6775 -6.7672 0.0000 1.6775 6.7672 0.0000 0.0000 0.0000 10.2237" Properties=species:S:1:pos:R:3 pbc="T T T"
Ce 1.6775 5.2180 5.1119
Ce 1.6775 4.9932 1.1188
Ce 1.6775 -4.9932 6.2307
Ce 1.6775 -5.2180 0.0000
Hf 1.6775 4.0082 8.3328
Hf 1.6775 -4.0082 3.2209
Zn 1.6775 0.1892 2.9581
Zn 1.6775 -0.1892 8.0700
N 1.6775 6.0727 8.9939
N 1.6775 2.8719 4.7630
N 1.6775 2.6406 1.7899
N 1.6775 1.8994 8.4124
N 1.6775 0.0758 6.0554
N 1.6775 -0.0758 0.9435
N 1.6775 -1.8994 3.3005
N 1.6775 -2.6406 6.9018
N 1.6775 -2.8719 9.8749
N 1.6775 -6.0727 3.8820
```

## Properties
Raw formation energy ... -94.9 kJ/mol of atoms

***

Material: Ce2HfZrN4
Method: DFT, PBE
State: optimized geometry

Geometry as extended XYZ:
```
8
Lattice="5.7976 0.0000 0.0000 0.0000 3.3384 0.0000 -1.9283 0.0000 5.6835" Properties=species:S:1:pos:R:3 pbc="T T T"
Ce 0.0000 0.0000 0.0000
Ce 2.8988 1.6692 0.0000
Hf -0.9642 1.6692 2.8417
Zr 1.9346 0.0000 2.8417
N -0.0265 0.0000 4.0732
N 0.9381 1.6692 1.5933
N 2.9312 1.6692 4.0901
N 3.8958 0.0000 1.6103
```

## Properties
Raw formation energy ... -162.0 kJ/mol of atoms

***

Material: CeHfZr2N4
Method: DFT, PBE
State: optimized geometry

Geometry as extended XYZ:
```
8
Lattice="5.7336 0.0000 0.0000 0.0000 3.2952 0.0000 -1.9155 0.0000 5.5013" Properties=species:S:1:pos:R:3 pbc="T T T"
Ce 0.0000 0.0000 0.0000
Hf -0.9577 1.6476 2.7506
Zr 1.9091 0.0000 2.7506
Zr 2.8668 1.6476 0.0000
N 0.0085 0.0000 4.0289
N 0.9643 1.6476 1.4971
N 2.8538 1.6476 4.0042
N 3.8096 0.0000 1.4724
```

## Properties
Raw formation energy ... -159.6 kJ/mol of atoms

***

Material: Ce2HfZrN5
Method: DFT, PBE
State: optimized geometry

Geometry as extended XYZ:
```
18
Lattice="1.7243 -6.9088 0.0000 1.7243 6.9088 0.0000 0.0000 0.0000 10.5736" Properties=species:S:1:pos:R:3 pbc="T T T"
Ce 1.7243 5.3103 5.2868
Ce 1.7243 4.9964 0.8643
Ce 1.7243 -4.9964 6.1511
Ce 1.7243 -5.3103 0.0000
Hf 1.7243 3.8298 8.5244
Hf 1.7243 -3.8298 3.2376
Zr 1.7243 0.3566 2.9260
Zr 1.7243 -0.3566 8.2128
N 1.7243 5.9567 9.1521
N 1.7243 3.0950 4.8452
N 1.7243 2.6729 1.9249
N 1.7243 1.7414 8.6472
N 1.7243 0.0649 6.1377
N 1.7243 -0.0649 0.8509
N 1.7243 -1.7414 3.3604
N 1.7243 -2.6729 7.2117
N 1.7243 -3.0950 10.1320
N 1.7243 -5.9567 3.8653
```

## Properties
Raw formation energy ... -142.7 kJ/mol of atoms

***

Material: CeHf3Zr2N6
Method: DFT, PBE
State: optimized geometry

Geometry as extended XYZ:
```
12
Lattice="7.1871 -1.6292 0.0000 7.1871 1.6292 0.0000 -1.6457 0.0000 6.4377" Properties=species:S:1:pos:R:3 pbc="T T T"
Ce 0.0000 0.0000 0.0000
Hf -0.8228 0.0000 3.2188
Hf 4.4866 0.0000 1.0881
Hf 8.2418 0.0000 5.3496
Zr 3.6517 0.0000 4.2557
Zr 9.0768 0.0000 2.1819
N 1.3669 0.0000 3.8150
N 2.3785 0.0000 0.4956
N 6.7057 0.0000 1.7477
N 6.0228 0.0000 4.6899
N 10.3500 0.0000 5.9421
N 11.3616 0.0000 2.6227
```

## Properties
Raw formation energy ... -164.2 kJ/mol of atoms

***

Material: NaCe2Hf
Method: DFT, PBE
State: optimized geometry

Geometry as extended XYZ:
```
12
Lattice="3.1845 0.0000 0.0000 -1.5923 2.7579 0.0000 0.0000 0.0000 37.3760" Properties=species:S:1:pos:R:3 pbc="T T T"
Na 0.0000 0.0000 0.0000
Na 0.0000 1.8386 24.9173
Na 1.5923 0.9193 12.4587
Ce 0.0000 0.0000 3.4865
Ce 0.0000 0.0000 33.8894
Ce 0.0000 1.8386 21.4308
Ce 0.0000 1.8386 28.4039
Ce 1.5923 0.9193 8.9721
Ce 1.5923 0.9193 15.9452
Hf 0.0000 0.0000 18.6880
Hf 0.0000 1.8386 6.2293
Hf 1.5923 0.9193 31.1466
```

## Properties
Formation energy from the elements ... 0.22 eV per atom

***

Material: NaCeHfNbO6
Method: DFT, PBE
State: optimized geometry

Geometry as extended XYZ:
```
10
Lattice="0.0000 4.0757 4.0757 4.0757 0.0000 4.0757 4.0757 4.0757 0.0000" Properties=species:S:1:pos:R:3 pbc="T T T"
Na 0.0000 0.0000 0.0000
Ce 4.0757 4.0757 4.0757
Hf 6.1135 6.1135 6.1135
Nb 2.0378 2.0378 2.0378
O 2.0378 2.0378 0.0184
O 2.0378 0.0184 2.0378
O 4.0573 2.0378 2.0378
O 0.0184 2.0378 2.0378
O 2.0378 4.0573 2.0378
O 2.0378 2.0378 4.0573
```

## Properties
Raw formation energy ... -271.7 kJ/mol of atoms

***

Material: NaCeHf2O6
Method: DFT, PBE
State: optimized geometry

Geometry as extended XYZ:
```
10
Lattice="0.0000 4.1020 4.1020 4.1020 0.0000 4.1020 4.1020 4.1020 0.0000" Properties=species:S:1:pos:R:3 pbc="T T T"
Na 0.0000 0.0000 0.0000
Ce 4.1020 4.1020 4.1020
Hf 2.0510 2.0510 2.0510
Hf 6.1530 6.1530 6.1530
O 2.0510 2.0510 0.0000
O 2.0510 0.0000 2.0510
O 4.1020 2.0510 2.0510
O 0.0000 2.0510 2.0510
O 2.0510 4.1020 2.0510
O 2.0510 2.0510 4.1020
```

## Properties
Raw formation energy ... -298.7 kJ/mol of atoms

***

Listing M_tot for the structures above in their given order: 0.000; 0.000; 0.000; 0.088; 0.000; 0.089; 0.145; 0.100 μB per atom.